[1]
## US4Cl4 (PBE-GGA)

Data for a relaxed structure of US4Cl4.

POSCAR file:
```
US4Cl4
1.0
4.037 0.000 0.000
1.469 7.706 0.000
0.214 0.248 10.699
U S Cl
1 4 4
direct
0.000 0.000 0.000 U
0.331 0.443 0.634 S
0.360 0.402 0.382 S
0.640 0.598 0.618 S
0.669 0.557 0.366 S
0.006 0.017 0.765 Cl
0.414 0.236 0.004 Cl
0.586 0.764 0.996 Cl
0.994 0.983 0.235 Cl
```

Properties
**Total moment**: 2.11 μB/cell
**Space group**: No. 2

---

[2]
## USCl3 (PBE-GGA)

Data for a relaxed structure of USCl3.

POSCAR file:
```
USCl3
1.0
7.294 0.000 0.000
0.000 7.240 0.000
-1.252 0.000 13.794
U S Cl
4 4 12
direct
0.084 0.111 0.137 U
0.084 0.889 0.637 U
0.916 0.111 0.363 U
0.916 0.889 0.863 U
0.131 0.373 0.284 S
0.131 0.627 0.784 S
0.869 0.373 0.216 S
0.869 0.627 0.716 S
0.117 0.206 0.532 Cl
0.117 0.794 0.032 Cl
0.220 0.072 0.797 Cl
0.220 0.928 0.297 Cl
0.372 0.238 0.076 Cl
0.372 0.762 0.576 Cl
0.628 0.238 0.424 Cl
0.628 0.762 0.924 Cl
0.780 0.072 0.703 Cl
0.780 0.928 0.203 Cl
0.883 0.206 0.968 Cl
0.883 0.794 0.468 Cl
```

Properties
**Total moment**: 8.00 μB/cell
**Space group**: No. 13

---

[3]
## US2Cl5 (PBE-GGA)

Data for a relaxed structure of US2Cl5.

POSCAR file:
```
US2Cl5
1.0
5.390 0.000 0.000
-2.596 7.904 0.000
-2.619 -1.179 7.817
U S Cl
1 2 5
direct
0.000 0.000 0.000 U
0.167 0.565 0.480 S
0.841 0.434 0.519 S
0.163 0.019 0.317 Cl
0.168 0.317 0.028 Cl
0.500 0.000 0.000 Cl
0.832 0.683 0.972 Cl
0.837 0.981 0.683 Cl
```

Properties
**Total moment**: 3.00 μB/cell
**Space group**: No. 1

---

[4]
## VS6Cl2 (PBE-GGA)

Data for a relaxed structure of VS6Cl2.

POSCAR file:
```
VS6Cl2
1.0
5.815 0.000 0.000
2.570 6.367 0.000
1.405 2.617 6.972
V S Cl
1 6 2
direct
0.000 0.000 0.000 V
0.222 0.858 0.755 S
0.361 0.095 0.574 S
0.427 0.886 0.086 S
0.573 0.114 0.914 S
0.639 0.905 0.426 S
0.778 0.142 0.245 S
0.030 0.640 0.181 Cl
0.970 0.360 0.819 Cl
```

Properties
**Total moment**: 1.03 μB/cell
**Space group**: No. 2

---

[5]
## V2SCl (PBE-GGA)

Data for a relaxed structure of V2SCl.

POSCAR file:
```
V2SCl
1.0
0.000 3.002 3.002
3.002 0.000 3.002
3.002 3.002 0.000
V S Cl
2 1 1
direct
0.250 0.250 0.250 V
0.750 0.750 0.750 V
0.000 0.000 0.000 S
0.500 0.500 0.500 Cl
```

Properties
**Total moment**: 2.87 μB/cell
**Space group**: No. 225

---

[6]
## VSCl (PBE-GGA)

Data for a relaxed structure of VSCl.

POSCAR file:
```
VSCl
1.0
6.527 -1.578 0.000
6.527 1.578 0.000
-5.692 0.000 7.249
V S Cl
2 2 2
direct
0.198 0.198 0.353 V
0.802 0.802 0.647 V
0.412 0.412 0.609 S
0.588 0.588 0.391 S
0.291 0.291 0.832 Cl
0.709 0.709 0.168 Cl
```

Properties
**Total moment**: 0.83 μB/cell
**Space group**: No. 12

---

Summary of total DFT energy (no corrections) in eV per cell
-42.8, -112.9, -37.4, -40.6, -24.8, -36.3
(order as listed above)
Summary of E_form (uncorrected) in eV per atom
-0.848, -1.452, -1.075, -0.331, -0.156, -1.021
(order as listed above)